# 1
Below is a geometry-optimized PuTi2Pd9 structure, with properties calculated at the PBE-GGA level.

Values from the calculation:
For the energy relative to the elements, the calculation gives -0.602 eV/atom. For the calculated volume, the calculation gives 16.07 Å³/atom. The total energy is -7.01 eV/atom.

abc: 4.007 4.007 12.010
angles: 90.00 90.00 90.00
Space group P4/mmm (No. 123)
Symmetry-distinct sites (fractional):
Pu (0.000, 0.000, 0.000) [1 per cell]
Ti (0.000, 0.000, 0.338) [2 per cell]
Pd (0.000, 0.500, 0.183) [4 per cell]
Pd (0.000, 0.500, 0.500) [2 per cell]
Pd (0.500, 0.500, 0.000) [1 per cell]
Pd (0.500, 0.500, 0.341) [2 per cell]

=====

# 2
Below is a geometry-optimized PuTiPd6 structure, with properties calculated at the PBE-GGA level.

Values from the calculation:
For the energy relative to the elements, the calculation gives -0.586 eV/atom. For the calculated volume, the calculation gives 16.53 Å³/atom. The total energy is -7.26 eV/atom.

abc: 4.044 4.044 8.085
angles: 90.00 90.00 90.00
Space group P4/mmm (No. 123)
Symmetry-distinct sites (fractional):
Pu (0.000, 0.000, 0.000) [1 per cell]
Ti (0.000, 0.000, 0.500) [1 per cell]
Pd (0.000, 0.500, 0.268) [4 per cell]
Pd (0.500, 0.500, 0.000) [1 per cell]
Pd (0.500, 0.500, 0.500) [1 per cell]

=====

# 3
Below is a geometry-optimized Pu6TiPd5 structure, with properties calculated at the PBE-GGA level.

Values from the calculation:
For the energy relative to the elements, the calculation gives -0.251 eV/atom. For the calculated volume, the calculation gives 21.00 Å³/atom. The total energy is -10.24 eV/atom.

abc: 5.277 6.649 8.111
angles: 113.09 104.15 90.61
Space group P-1 (No. 2)
Symmetry-distinct sites (fractional):
Pu (0.007, 0.271, 0.032) [2 per cell]
Pu (0.227, 0.086, 0.670) [2 per cell]
Pu (0.260, 0.563, 0.641) [2 per cell]
Ti (0.500, 0.000, 0.000) [1 per cell]
Pd (0.276, 0.695, 0.333) [2 per cell]
Pd (0.282, 0.137, 0.321) [2 per cell]
Pd (0.500, 0.500, 0.000) [1 per cell]

=====

# 4
Below is a geometry-optimized Pu2TiPd structure, with properties calculated at the PBE-GGA level.

Values from the calculation:
For the energy relative to the elements, the calculation gives -0.026 eV/atom. For the calculated volume, the calculation gives 21.64 Å³/atom. For the energy above the most stable polymorph in this dataset, the calculation gives 0.000 eV per atom. The total energy is -10.46 eV/atom.

abc: 3.734 3.734 6.207
angles: 90.00 90.00 90.00
Space group P4/mmm (No. 123)
Symmetry-distinct sites (fractional):
Pu (0.000, 0.000, 0.236) [2 per cell]
Ti (0.500, 0.500, 0.500) [1 per cell]
Pd (0.500, 0.500, 0.000) [1 per cell]

=====

# 5
Below is a geometry-optimized PuTl2Pd structure, with properties calculated at the PBE-GGA level.

Values from the calculation:
For the energy relative to the elements, the calculation gives -0.129 eV/atom. For the calculated volume, the calculation gives 23.14 Å³/atom. The total energy is -6.19 eV/atom.

abc: 3.459 3.459 7.738
angles: 90.00 90.00 90.00
Space group P4/mmm (No. 123)
Symmetry-distinct sites (fractional):
Pu (0.000, 0.000, 0.000) [1 per cell]
Tl (0.500, 0.500, 0.290) [2 per cell]
Pd (0.000, 0.000, 0.500) [1 per cell]

=====

# 6
Below is a geometry-optimized Pu3Tl2Pd3 structure, with properties calculated at the PBE-GGA level.

Values from the calculation:
For the energy relative to the elements, the calculation gives -0.244 eV/atom. For the calculated volume, the calculation gives 23.35 Å³/atom. The total energy is -8.16 eV/atom.

abc: 3.482 5.151 20.834
angles: 90.00 90.00 90.00
Space group Immm (No. 71)
Symmetry-distinct sites (fractional):
Pu (0.000, 0.000, 0.000) [2 per cell]
Pu (0.000, 0.500, 0.119) [4 per cell]
Tl (0.000, 0.000, 0.228) [4 per cell]
Pd (0.000, 0.000, 0.500) [2 per cell]
Pd (0.000, 0.500, 0.386) [4 per cell]

=====

> Look up the energy relative to the elements of the second one.

-0.586 eV/atom